Record 1
# AlZnAs2

A relaxed structure of AlZnAs2 (PBE-GGA, Alexandria via LeMat-Bulk).

Properties
crystal system = tetragonal
excess energy over the best structure of this formula in the dataset = 0.000 eV/atom
space-group type = I-42d (122)
energy relative to the elements = -19 kJ/mol of atoms
E_tot = -30.2 eV for the cell shown
total moment = 0.000 μB/atom

```
data_AlZnAs2
_cell_length_a 5.7700
_cell_length_b 5.7700
_cell_length_c 6.9496
_cell_angle_alpha 65.47
_cell_angle_beta 65.47
_cell_angle_gamma 90.00
_symmetry_space_group_name_H-M 'P 1'
_symmetry_Int_Tables_number 1
loop_
_symmetry_equiv_pos_as_xyz
'x,y,z'
loop_
_atom_site_label
_atom_site_type_symbol
_atom_site_fract_x
_atom_site_fract_y
_atom_site_fract_z
_atom_site_occupancy
As1 As 0.6255 0.1250 0.2500 1
As2 As 0.1245 0.6250 0.2500 1
As3 As 0.3750 0.3745 0.7500 1
As4 As 0.8750 0.8755 0.7500 1
Zn1 Zn 0.0000 0.0000 0.0000 1
Zn2 Zn 0.7500 0.2500 0.5000 1
Al1 Al 0.5000 0.5000 0.0000 1
Al2 Al 0.2500 0.7500 0.5000 1
```

***

Record 2
# Al2ZnAs

A relaxed structure of Al2ZnAs (PBE-GGA, Alexandria via LeMat-Bulk).

Properties
crystal system = cubic
excess energy over the best structure of this formula in the dataset = 0.177 eV/atom
space-group type = F-43m (216)
energy relative to the elements = 18 kJ/mol of atoms
E_tot = -12.7 eV for the cell shown
total moment = 0.000 μB/atom

```
data_Al2ZnAs
_cell_length_a 4.6614
_cell_length_b 4.6614
_cell_length_c 4.6614
_cell_angle_alpha 60.00
_cell_angle_beta 60.00
_cell_angle_gamma 60.00
_symmetry_space_group_name_H-M 'P 1'
_symmetry_Int_Tables_number 1
loop_
_symmetry_equiv_pos_as_xyz
'x,y,z'
loop_
_atom_site_label
_atom_site_type_symbol
_atom_site_fract_x
_atom_site_fract_y
_atom_site_fract_z
_atom_site_occupancy
As1 As 0.5000 0.5000 0.5000 1
Zn1 Zn 0.2500 0.2500 0.2500 1
Al1 Al 0.0000 0.0000 0.0000 1
Al2 Al 0.7500 0.7500 0.7500 1
```

***

Record 3
# AlZn2As

A relaxed structure of AlZn2As (PBE-GGA, Alexandria via LeMat-Bulk).

Properties
crystal system = orthorhombic
excess energy over the best structure of this formula in the dataset = 0.030 eV/atom
space-group type = Pmm2 (25)
energy relative to the elements = 9 kJ/mol of atoms
E_tot = -10.6 eV for the cell shown
total moment = 0.000 μB/atom

```
data_AlZn2As
_cell_length_a 5.3455
_cell_length_b 2.6563
_cell_length_c 5.7561
_cell_angle_alpha 62.50
_cell_angle_beta 90.00
_cell_angle_gamma 90.00
_symmetry_space_group_name_H-M 'P 1'
_symmetry_Int_Tables_number 1
loop_
_symmetry_equiv_pos_as_xyz
'x,y,z'
loop_
_atom_site_label
_atom_site_type_symbol
_atom_site_fract_x
_atom_site_fract_y
_atom_site_fract_z
_atom_site_occupancy
As1 As 0.5000 0.7483 0.6265 1
Zn1 Zn 0.0000 0.7520 0.1234 1
Zn2 Zn 0.5000 0.2477 0.1267 1
Al1 Al 0.0000 0.7520 0.6234 1
```

***

Record 4
# Al2ZnAs

A relaxed structure of Al2ZnAs (PBE-GGA, Alexandria via LeMat-Bulk).

Properties
crystal system = monoclinic
excess energy over the best structure of this formula in the dataset = 0.087 eV/atom
space-group type = C2/m (12)
energy relative to the elements = 9 kJ/mol of atoms
E_tot = -13.0 eV for the cell shown
total moment = 0.000 μB/atom

```
data_Al2ZnAs
_cell_length_a 5.1012
_cell_length_b 5.1012
_cell_length_c 5.0383
_cell_angle_alpha 79.54
_cell_angle_beta 79.54
_cell_angle_gamma 32.28
_symmetry_space_group_name_H-M 'P 1'
_symmetry_Int_Tables_number 1
loop_
_symmetry_equiv_pos_as_xyz
'x,y,z'
loop_
_atom_site_label
_atom_site_type_symbol
_atom_site_fract_x
_atom_site_fract_y
_atom_site_fract_z
_atom_site_occupancy
As1 As 0.7500 0.7500 0.7500 1
Zn1 Zn 0.2500 0.2500 0.2500 1
Al1 Al 0.9936 0.9936 0.0069 1
Al2 Al 0.5064 0.5064 0.4931 1
```